1.
Below is a relaxed structure of Li2ZrNbAu, with properties calculated at the PBE level.

Cell: 4.387 4.387 5.324 Å, 90.00 90.00 90.00°
Space group P4/mmm (No. 123)
Inequivalent atoms, fractional coordinates:
Li 0.000 0.500 0.000 (multiplicity 2)
Zr 0.000 0.000 0.500 (multiplicity 1)
Nb 0.500 0.500 0.500 (multiplicity 1)
Au 0.500 0.500 0.000 (multiplicity 1)

Computed properties:
Fermi-level density of states (states/eV/f.u.): 4.70
ΔH_f (0 K) (meV per atom): 485
Total energy (eV/atom): -4.659

---

2.
Below is a relaxed structure of LiNd4Au3, with properties calculated at the PBE level.

Cell: 3.938 4.845 11.187 Å, 90.00 90.00 90.00°
Space group Pmm2 (No. 25)
Inequivalent atoms, fractional coordinates:
Li 0.000 0.000 0.000 (multiplicity 1)
Nd 0.000 0.000 0.296 (multiplicity 1)
Nd 0.000 0.500 0.571 (multiplicity 1)
Nd 0.500 0.000 0.786 (multiplicity 1)
Nd 0.500 0.500 0.071 (multiplicity 1)
Au 0.000 0.500 0.858 (multiplicity 1)
Au 0.500 0.000 0.516 (multiplicity 1)
Au 0.500 0.500 0.349 (multiplicity 1)

Computed properties:
Fermi-level density of states (states/eV/f.u.): 7.55
ΔH_f (0 K) (meV per atom): -570
Total energy (eV/atom): -4.422

---

3.
Below is a relaxed structure of LiNd4Au5, with properties calculated at the PBE level.

Cell: 3.657 3.657 17.892 Å, 90.00 90.00 90.00°
Space group P4/mmm (No. 123)
Inequivalent atoms, fractional coordinates:
Li 0.000 0.000 0.000 (multiplicity 1)
Nd 0.000 0.000 0.181 (multiplicity 2)
Nd 0.000 0.000 0.394 (multiplicity 2)
Au 0.500 0.500 0.079 (multiplicity 2)
Au 0.500 0.500 0.288 (multiplicity 2)
Au 0.500 0.500 0.500 (multiplicity 1)

Computed properties:
Fermi-level density of states (states/eV/f.u.): 6.79
ΔH_f (0 K) (meV per atom): -706
Total energy (eV/atom): -4.444

---

4.
Below is a relaxed structure of LiNdAu4, with properties calculated at the PBE level.

Cell: 4.7293 4.7293 6.5195 Å, 90.00 90.00 120.00°
Space group P6/mmm (No. 191)
Inequivalent atoms, fractional coordinates:
Li 0.0000 0.0000 0.0000 (multiplicity 1)
Nd 0.0000 0.0000 0.5000 (multiplicity 1)
Au 0.3333 0.6667 0.2258 (multiplicity 4)

Computed properties:
Fermi-level density of states (states/eV/f.u.): 2.57
ΔH_f (0 K) (meV per atom): -550
Total energy (eV/atom): -3.848
Energy relative to the lowest polymorph listed for this composition (meV/atom): 0.0

---

5.
Below is a relaxed structure of Li4NdAu8, with properties calculated at the PBE level.

Cell: 9.267 9.267 5.324 Å, 90.00 90.00 90.00°
Space group I4/mmm (No. 139)
Inequivalent atoms, fractional coordinates:
Li 0.250 0.250 0.250 (multiplicity 8)
Nd 0.000 0.000 0.000 (multiplicity 2)
Au 0.000 0.222 0.500 (multiplicity 8)
Au 0.000 0.338 0.000 (multiplicity 8)

Computed properties:
Fermi-level density of states (states/eV/f.u.): 3.32
ΔH_f (0 K) (meV per atom): -520
Total energy (eV/atom): -3.492

---

6.
Below is a relaxed structure of Li2Nd3Au6, with properties calculated at the PBE level.

Cell: 4.591 4.591 23.363 Å, 90.00 90.00 90.00°
Space group I4/mmm (No. 139)
Inequivalent atoms, fractional coordinates:
Li 0.000 0.000 0.055 (multiplicity 4)
Nd 0.000 0.000 0.308 (multiplicity 4)
Nd 0.000 0.000 0.500 (multiplicity 2)
Au 0.000 0.000 0.180 (multiplicity 4)
Au 0.000 0.500 0.096 (multiplicity 8)

Computed properties:
Fermi-level density of states (states/eV/f.u.): 5.27
ΔH_f (0 K) (meV per atom): -607
Total energy (eV/atom): -4.043